The following is a DFT calculation (PBE) of an optimized crystal structure of LaOs.

Unit cell a=17.8045 b=4.2050 c=4.3738 alpha=90.00 beta=90.00 gamma=90.00
With the nearest neighbours (Å) after each atom.
Sites, in units of the cell vectors:
Os 0.5000 0.0000 0.5000  6 La 2.76-3.03
Os 0.7811 0.0000 0.0000  2 Os 2.38
Os 0.0000 0.5000 0.5000  6 La 2.76-3.03
Os 0.7189 0.5000 0.0000  2 Os 2.38
Os 0.2811 0.5000 0.0000  2 Os 2.38
Os 0.2189 0.0000 0.0000  2 Os 2.38
La 0.1549 0.5000 0.5000  1 Os 2.76
La 0.8451 0.5000 0.5000  1 Os 2.76
La 0.3451 0.0000 0.5000  1 Os 2.76
La 0.6549 0.0000 0.5000  1 Os 2.76
La 0.5000 0.5000 0.0000  4 Os 3.03
La 0.0000 0.0000 0.0000  4 Os 3.03

Calculated values
DOS at the Fermi energy: 1.93 states/eV/f.u.
ΔE_f: 0.10 eV/atom
Density: 10.01 Mg/m³
Symmetry: Cmmm (65)

***

The following is a DFT calculation (PBE) of an optimized crystal structure of La3Os4.

Unit cell a=6.4495 b=6.4495 c=4.6519 alpha=90.00 beta=90.00 gamma=120.00
With the nearest neighbours (Å) after each atom.
Sites, in units of the cell vectors:
Os 0.0000 0.0000 0.2469  2 Os 2.30-2.35
Os 0.0000 0.0000 0.7531  2 Os 2.30-2.35
Os 0.3333 0.6667 0.5000  6 La 2.98
Os 0.6667 0.3333 0.5000  6 La 2.98
La 0.5000 0.0000 0.0000  4 Os 2.98, 4 La 3.22
La 0.0000 0.5000 0.0000  4 Os 2.98, 4 La 3.22
La 0.5000 0.5000 0.0000  4 Os 2.98, 4 La 3.22

Calculated values
DOS at the Fermi energy: 10.58 states/eV/f.u.
ΔE_f: 1.11 eV/atom
Density: 11.67 Mg/m³
Symmetry: P6/mmm (191)

***

The following is a DFT calculation (PBE) of an optimized crystal structure of LaOs.

Unit cell a=8.4871 b=4.4560 c=5.6071 alpha=90.00 beta=90.00 gamma=90.00
With the nearest neighbours (Å) after each atom.
Sites, in units of the cell vectors:
Os 0.9738 0.7500 0.4253  2 Os 2.42
Os 0.4738 0.7500 0.0747  2 Os 2.42
Os 0.0262 0.2500 0.5747  2 Os 2.42
Os 0.5262 0.2500 0.9253  2 Os 2.42
La 0.8242 0.7500 0.9201  7 Os 3.05-3.41
La 0.3242 0.7500 0.5799  7 Os 3.05-3.41
La 0.6758 0.2500 0.4201  7 Os 3.05-3.41
La 0.1758 0.2500 0.0799  7 Os 3.05-3.41

Calculated values
DOS at the Fermi energy: 1.21 states/eV/f.u.
ΔE_f: -0.06 eV/atom
Density: 10.31 Mg/m³
Symmetry: Pnma (62)